1.
A plane-wave DFT calculation with PBE was carried out for a relaxed K4OsBr crystal.

Properties
crystal system	cubic
E_tot	-49.490	eV per cell
formation energy from raw total energies	0.8200	eV/atom

```
data_K4OsBr
_space_group_name_H-M_alt 'F -4 3 m'
_space_group_IT_number 216
_space_group_name_Hall 'F -4 2 3'
_cell_length_a 10.128
_cell_length_b 10.128
_cell_length_c 10.128
_cell_angle_alpha 90.00
_cell_angle_beta 90.00
_cell_angle_gamma 90.00
loop_
_atom_site_label
_atom_site_type_symbol
_atom_site_fract_x
_atom_site_fract_y
_atom_site_fract_z
_atom_site_occupancy
K1 K 0.125 0.125 0.125 1
Os1 Os 0.250 0.250 0.750 1
Br1 Br 0.000 0.000 0.500 1
```

=====

2.
A plane-wave DFT calculation with PBE was carried out for a relaxed K2OsBr crystal.

Properties
crystal system	tetragonal
E_tot	-49.588	eV per cell
formation energy from raw total energies	0.6752	eV/atom
offset from the most stable computed form	0.201	eV/atom

```
data_K2OsBr
_space_group_name_H-M_alt 'I -4 2 d'
_space_group_IT_number 122
_space_group_name_Hall 'I -4 2bw'
_cell_length_a 12.205
_cell_length_b 12.205
_cell_length_c 4.606
_cell_angle_alpha 90.00
_cell_angle_beta 90.00
_cell_angle_gamma 90.00
loop_
_atom_site_label
_atom_site_type_symbol
_atom_site_fract_x
_atom_site_fract_y
_atom_site_fract_z
_atom_site_occupancy
K1 K 0.060 0.250 0.125 1
Os1 Os 0.000 0.000 0.500 1
Br1 Br 0.000 0.000 0.000 1
```

=====

3.
A plane-wave DFT calculation with PBE was carried out for a relaxed K2OsBr crystal.

Properties
crystal system	trigonal
E_tot	-37.967	eV per cell
formation energy from raw total energies	0.6105	eV/atom
offset from the most stable computed form	0.137	eV/atom

```
data_K2OsBr
_space_group_name_H-M_alt 'R -3 m'
_space_group_IT_number 166
_space_group_name_Hall '-R 3 2"'
_cell_length_a 4.1020
_cell_length_b 4.1020
_cell_length_c 28.1343
_cell_angle_alpha 90.00
_cell_angle_beta 90.00
_cell_angle_gamma 120.00
loop_
_atom_site_label
_atom_site_type_symbol
_atom_site_fract_x
_atom_site_fract_y
_atom_site_fract_z
_atom_site_occupancy
K1 K 0.0000 0.0000 0.2438 1
Os1 Os 0.0000 0.0000 0.0000 1
Br1 Br 0.0000 0.0000 0.5000 1
```